# 1
VASP calculation (GGA-PBEsol) on a relaxed structure of MgNi2Os.

Cell lengths 2.593, 4.419, 4.743 Å; angles 97.42, 90.00, 107.06 degrees
Sites, in units of the cell vectors:
Mg  0.500  0.000  0.000
Ni  0.744  0.488  0.725
Ni  0.256  0.512  0.275
Os  0.000  0.000  0.500

Values from the calculation:
Energy in eV per atom: -6.38
Density in kg/m³: 10704
Symmetry: No. 12
Density of states at the Fermi level in states/eV per atom: 0.94

=====

# 2
VASP calculation (GGA-PBEsol) on a relaxed structure of SrAgO2.

Cell lengths 5.348, 5.348, 5.348 Å; angles 102.38, 113.13, 113.13 degrees
Sites, in units of the cell vectors:
Sr  0.500  0.250  0.750
Sr  0.500  0.750  0.250
O  0.500  0.751  0.749
O  0.002  0.251  0.751
O  0.500  0.249  0.251
O  0.998  0.749  0.249
Ag  0.000  0.500  0.500
Ag  0.000  0.000  0.000

Values from the calculation:
Formation energy without anion corrections in eV/atom: -1.53
Energy in eV per atom: -5.44
Density in kg/m³: 6490
Symmetry: No. 140
Density of states at the Fermi level in states/eV per atom: 0.19

=====

# 3
VASP calculation (GGA-PBEsol) on a relaxed structure of Na2S5.

Cell lengths 5.779, 7.538, 14.469 Å; angles 90.00, 90.00, 90.00 degrees
Sites, in units of the cell vectors:
Na  0.204  0.943  0.750
Na  0.704  0.557  0.250
Na  0.296  0.443  0.750
Na  0.796  0.057  0.250
Na  0.000  0.000  0.500
Na  0.500  0.500  0.500
Na  0.500  0.500  0.000
Na  0.000  0.000  0.000
S  0.114  0.463  0.134
S  0.614  0.037  0.866
S  0.386  0.963  0.366
S  0.886  0.537  0.634
S  0.886  0.537  0.866
S  0.386  0.963  0.134
S  0.614  0.037  0.634
S  0.114  0.463  0.366
S  0.274  0.358  0.250
S  0.774  0.142  0.750
S  0.226  0.858  0.250
S  0.726  0.642  0.750
S  0.838  0.300  0.398
S  0.338  0.200  0.602
S  0.662  0.800  0.102
S  0.162  0.700  0.898
S  0.162  0.700  0.602
S  0.662  0.800  0.398
S  0.338  0.200  0.898
S  0.838  0.300  0.102

Values from the calculation:
Formation energy without anion corrections in eV/atom: -0.51
Energy in eV per atom: -4.04
Density in kg/m³: 2174
Symmetry: No. 62
Density of states at the Fermi level in states/eV per atom: 0.00

=====

# 4
VASP calculation (GGA-PBEsol) on a relaxed structure of MnCoPb2.

Cell lengths 3.758, 3.938, 5.384 Å; angles 90.00, 110.43, 90.00 degrees
Sites, in units of the cell vectors:
Co  0.818  0.000  0.636
Mn  0.682  0.500  0.364
Pb  0.104  0.000  0.209
Pb  0.396  0.500  0.792

Values from the calculation:
E above lowest polymorph in eV per atom: 0.000
Energy in eV per atom: -5.96
Density in kg/m³: 11747
Symmetry: No. 38
Density of states at the Fermi level in states/eV per atom: 0.91

=====

# 5
VASP calculation (GGA-PBEsol) on a relaxed structure of ReMoW2.

Cell lengths 2.713, 4.420, 5.186 Å; angles 90.00, 100.24, 90.00 degrees
Sites, in units of the cell vectors:
Re  0.247  0.500  0.751
Mo  0.506  0.000  0.499
W  0.997  0.000  0.999
W  0.751  0.500  0.251

Values from the calculation:
E above lowest polymorph in eV per atom: 0.033
Energy in eV per atom: -13.13
Density in kg/m³: 17631
Symmetry: No. 6
Density of states at the Fermi level in states/eV per atom: 0.72

=====

# 6
VASP calculation (GGA-PBEsol) on a relaxed structure of Sr4HfO6.

Cell lengths 6.965, 6.965, 6.965 Å; angles 90.02, 90.02, 90.02 degrees
Sites, in units of the cell vectors:
Sr  0.108  0.392  0.750
Sr  0.250  0.892  0.608
Sr  0.608  0.250  0.892
Sr  0.750  0.750  0.750
Sr  0.250  0.250  0.250
Sr  0.392  0.750  0.108
Sr  0.750  0.108  0.392
Sr  0.892  0.608  0.250
Hf  0.500  0.500  0.500
Hf  0.000  0.000  0.000
O  0.056  0.714  0.925
O  0.286  0.075  0.944
O  0.444  0.575  0.786
O  0.214  0.556  0.425
O  0.075  0.944  0.286
O  0.425  0.214  0.556
O  0.575  0.786  0.444
O  0.786  0.444  0.575
O  0.925  0.056  0.714
O  0.556  0.425  0.214
O  0.714  0.925  0.056
O  0.944  0.286  0.075

Values from the calculation:
Formation energy without anion corrections in eV/atom: -3.02
Energy in eV per atom: -7.51
Density in kg/m³: 6143
Symmetry: No. 167
Density of states at the Fermi level in states/eV per atom: 0.00

=====

# 7
VASP calculation (GGA-PBEsol) on a relaxed structure of HgBSb3.

Cell lengths 4.821, 4.821, 4.821 Å; angles 90.00, 90.00, 90.00 degrees
Sites, in units of the cell vectors:
Sb  0.000  0.500  0.000
Sb  0.000  0.000  0.500
Sb  0.500  0.000  0.000
B  0.000  0.000  0.000
Hg  0.500  0.500  0.500

Values from the calculation:
Formation energy without anion corrections in eV/atom: 0.65
Energy in eV per atom: -3.60
Density in kg/m³: 8544
Symmetry: No. 221
Density of states at the Fermi level in states/eV per atom: 0.56

=====

# 8
VASP calculation (GGA-PBEsol) on a relaxed structure of BaSc3.

Cell lengths 3.405, 3.405, 10.001 Å; angles 90.00, 90.00, 89.95 degrees
Sites, in units of the cell vectors:
Ba  0.000  0.000  0.000
Sc  0.500  0.500  0.705
Sc  0.000  0.000  0.500
Sc  0.500  0.500  0.295

Values from the calculation:
E above lowest polymorph in eV per atom: 0.000
Energy in eV per atom: -5.24
Density in kg/m³: 3898
Symmetry: No. 123
Density of states at the Fermi level in states/eV per atom: 1.98

=====

# 9
VASP calculation (GGA-PBEsol) on a relaxed structure of Ho2B4O9.

Cell lengths 6.099, 6.350, 7.435 Å; angles 102.73, 97.38, 102.47 degrees
Sites, in units of the cell vectors:
Ho  0.113  0.325  0.641
Ho  0.450  0.909  0.712
Ho  0.550  0.091  0.288
Ho  0.887  0.675  0.359
B  0.004  0.857  0.809
B  0.266  0.666  0.019
B  0.375  0.643  0.350
B  0.339  0.315  0.072
B  0.661  0.685  0.928
B  0.625  0.357  0.650
B  0.734  0.334  0.981
B  0.996  0.143  0.191
O  0.070  0.958  0.673
O  0.136  0.715  0.854
O  0.223  0.425  0.958
O  0.219  0.593  0.478
O  0.234  0.737  0.213
O  0.190  0.126  0.121
O  0.417  0.180  0.552
O  0.496  0.207  0.977
O  0.535  0.538  0.748
O  0.465  0.462  0.252
O  0.504  0.793  0.023
O  0.583  0.820  0.448
O  0.810  0.874  0.879
O  0.766  0.263  0.787
O  0.781  0.407  0.522
O  0.777  0.575  0.042
O  0.864  0.285  0.146
O  0.930  0.042  0.327

Values from the calculation:
Formation energy without anion corrections in eV/atom: -2.94
Energy in eV per atom: -8.62
Density in kg/m³: 6372
Symmetry: No. 2
Density of states at the Fermi level in states/eV per atom: 0.00

=====

# 10
VASP calculation (GGA-PBEsol) on a relaxed structure of MnCl2.

Cell lengths 3.177, 3.177, 13.363 Å; angles 96.83, 96.83, 90.00 degrees
Sites, in units of the cell vectors:
Cl  0.807  0.307  0.614
Cl  0.443  0.443  0.886
Cl  0.693  0.193  0.386
Cl  0.557  0.557  0.114
Mn  0.250  0.750  0.500
Mn  0.000  0.000  0.000

Values from the calculation:
Formation energy without anion corrections in eV/atom: -0.61
Energy in eV per atom: -5.21
Density in kg/m³: 3144
Symmetry: No. 141

=====

- density of number 5 (ReMoW2)?
  17631 kg/m³